No. 1
An optimized crystal structure of Ce2ErAs2S2. Source: Alexandria via LeMat-Bulk, functional PBE-GGA.

Output
Formation energy from raw total energies   -1224.5 meV/atom
E_tot   -42.56 eV/cell
Total magnetic moment   1.10 μB per formula unit
Crystal system   tetragonal

a b c (Å): 5.321 5.321 7.922
angles (deg): 109.62 109.62 90.00
Site moments in Bohr magnetons follow the coordinates.
Atoms (fractional coordinates):
Ce 0.377 0.377 0.754  0.63
Ce 0.623 0.623 0.246  0.63
Er 0.000 0.000 0.000  -0.03
As 0.000 0.500 0.000  -0.04
As 0.500 0.000 0.000  -0.04
S 0.193 0.193 0.386  -0.04
S 0.807 0.807 0.614  -0.04

No. 2
An optimized crystal structure of NaTaH3. Source: Alexandria via LeMat-Bulk, functional PBE-GGA.

Output
E_tot   -22.32 eV/cell
Total magnetic moment   0.02 μB per formula unit
Crystal system   cubic
Excess energy over the best structure of this formula in the dataset   0 meV per atom

a b c (Å): 3.752 3.752 3.752
angles (deg): 90.00 90.00 90.00
Atoms (fractional coordinates):
Na 0.500 0.500 0.500
H 0.000 0.500 0.000
H 0.000 0.000 0.500
H 0.500 0.000 0.000
Ta 0.000 0.000 0.000

The lowest E_tot belongs to which entry? Ce2ErAs2S2

Please write out number 1 again, unchanged.
An optimized crystal structure of Ce2ErAs2S2. Source: Alexandria via LeMat-Bulk, functional PBE-GGA.

Output
Formation energy from raw total energies   -1224.5 meV/atom
E_tot   -42.56 eV/cell
Total magnetic moment   1.10 μB per formula unit
Crystal system   tetragonal

a b c (Å): 5.321 5.321 7.922
angles (deg): 109.62 109.62 90.00
Site moments in Bohr magnetons follow the coordinates.
Atoms (fractional coordinates):
Ce 0.377 0.377 0.754  0.63
Ce 0.623 0.623 0.246  0.63
Er 0.000 0.000 0.000  -0.03
As 0.000 0.500 0.000  -0.04
As 0.500 0.000 0.000  -0.04
S 0.193 0.193 0.386  -0.04
S 0.807 0.807 0.614  -0.04

Number 2 is which compound? NaTaH3